*a*
Material: Ge3PtC
Method: DFT, GGA-PBE
State: optimized geometry

```
Ge3PtC
1.0
4.8496 0.0000 0.0000
0.0000 4.8496 0.0000
0.0000 0.0000 4.8496
Ge Pt C
3 1 1
Direct
0.0000 0.0000 0.5000
0.0000 0.5000 0.0000
0.5000 0.0000 0.0000
0.0000 0.0000 0.0000
0.5000 0.5000 0.5000
```

V: 114.1 Å³ per cell
space-group type: Pm-3m
DOS at the Fermi energy: 3.4 states/eV per cell

=====

*b*
Material: Ge3PtC
Method: DFT, GGA-PBE
State: optimized geometry

```
Ge3PtC
1.0
4.2579 0.0000 0.0000
0.0000 4.2579 0.0000
0.0000 0.0000 4.2579
Ge Pt C
3 1 1
Direct
0.0000 0.0000 0.5000
0.0000 0.5000 0.0000
0.5000 0.0000 0.0000
0.5000 0.5000 0.5000
0.0000 0.0000 0.0000
```

V: 77.2 Å³ per cell
space-group type: Pm-3m
DOS at the Fermi energy: 1.5 states/eV per cell

=====

It is *b* that is the most stable of them.

=====

*a*
Material: RbGeC3
Method: DFT, GGA-PBE
State: optimized geometry

```
RbGeC3
1.0
4.5798 0.0000 0.0000
0.0000 4.5798 0.0000
0.0000 0.0000 4.5798
Rb Ge C
1 1 3
Direct
0.0000 0.0000 0.0000
0.5000 0.5000 0.5000
0.0000 0.0000 0.5000
0.0000 0.5000 0.0000
0.5000 0.0000 0.0000
```

V: 96.1 Å³ per cell
space-group type: Pm-3m
DOS at the Fermi energy: 5.4 states/eV per cell

=====

*b*
Material: RbGeC3
Method: DFT, GGA-PBE
State: optimized geometry

```
RbGeC3
1.0
4.1977 0.0000 0.0000
0.0000 4.1977 0.0000
0.0000 0.0000 4.1977
Rb Ge C
1 1 3
Direct
0.0000 0.0000 0.0000
0.5000 0.5000 0.5000
0.0000 0.5000 0.5000
0.5000 0.0000 0.5000
0.5000 0.5000 0.0000
```

V: 74.0 Å³ per cell
space-group type: Pm-3m
DOS at the Fermi energy: 4.9 states/eV per cell

=====

It is *b* that is the most stable of them.

=====

*a*
Material: ReGe3C
Method: DFT, GGA-PBE
State: optimized geometry

```
ReGe3C
1.0
4.1976 0.0000 0.0000
0.0000 4.1976 0.0000
0.0000 0.0000 4.1976
Re Ge C
1 3 1
Direct
0.0000 0.0000 0.0000
0.0000 0.5000 0.5000
0.5000 0.0000 0.5000
0.5000 0.5000 0.0000
0.5000 0.5000 0.5000
```

V: 74.0 Å³ per cell
space-group type: Pm-3m
DOS at the Fermi energy: 4.6 states/eV per cell

=====

*b*
Material: ReGe3C
Method: DFT, GGA-PBE
State: optimized geometry

```
ReGe3C
1.0
4.8116 0.0000 0.0000
0.0000 4.8116 0.0000
0.0000 0.0000 4.8116
Re Ge C
1 3 1
Direct
0.0000 0.0000 0.0000
0.0000 0.0000 0.5000
0.0000 0.5000 0.0000
0.5000 0.0000 0.0000
0.5000 0.5000 0.5000
```

V: 111.4 Å³ per cell
space-group type: Pm-3m
DOS at the Fermi energy: 0.6 states/eV per cell

=====

It is *a* that is the most stable of them.

=====

*a*
Material: Ge3RhC
Method: DFT, GGA-PBE
State: optimized geometry

```
Ge3RhC
1.0
4.2310 0.0000 0.0000
0.0000 4.2310 0.0000
0.0000 0.0000 4.2310
Ge Rh C
3 1 1
Direct
0.0000 0.0000 0.5000
0.0000 0.5000 0.0000
0.5000 0.0000 0.0000
0.5000 0.5000 0.5000
0.0000 0.0000 0.0000
```

V: 75.7 Å³ per cell
space-group type: Pm-3m
DOS at the Fermi energy: 3.5 states/eV per cell

=====

*b*
Material: Ge3RhC
Method: DFT, GGA-PBE
State: optimized geometry

```
Ge3RhC
1.0
4.7264 0.0000 0.0000
0.0000 4.7264 0.0000
0.0000 0.0000 4.7264
Ge Rh C
3 1 1
Direct
0.0000 0.0000 0.5000
0.0000 0.5000 0.0000
0.5000 0.0000 0.0000
0.0000 0.0000 0.0000
0.5000 0.5000 0.5000
```

V: 105.6 Å³ per cell
space-group type: Pm-3m
DOS at the Fermi energy: 2.1 states/eV per cell

=====

It is *a* that is the most stable of them.

=====

*a*
Material: GeRuC3
Method: DFT, GGA-PBE
State: optimized geometry

```
GeRuC3
1.0
3.8584 0.0000 0.0000
0.0000 3.8584 0.0000
0.0000 0.0000 3.8584
Ge Ru C
1 1 3
Direct
0.0000 0.0000 0.0000
0.5000 0.5000 0.5000
0.0000 0.0000 0.5000
0.0000 0.5000 0.0000
0.5000 0.0000 0.0000
```

V: 57.4 Å³ per cell
space-group type: Pm-3m
DOS at the Fermi energy: 4.3 states/eV per cell

=====

*b*
Material: GeRuC3
Method: DFT, GGA-PBE
State: optimized geometry

```
GeRuC3
1.0
4.0611 0.0000 0.0000
0.0000 4.0611 0.0000
0.0000 0.0000 4.0611
Ge Ru C
1 1 3
Direct
0.0000 0.0000 0.0000
0.5000 0.5000 0.5000
0.0000 0.5000 0.5000
0.5000 0.0000 0.5000
0.5000 0.5000 0.0000
```

V: 67.0 Å³ per cell
space-group type: Pm-3m
DOS at the Fermi energy: 2.5 states/eV per cell

=====

It is *b* that is the most stable of them.

=====

*a*
Material: GeC2S
Method: DFT, GGA-PBE
State: optimized geometry

```
GeC2S
1.0
0.0000 2.8137 2.8137
2.8137 0.0000 2.8137
2.8137 2.8137 0.0000
Ge C S
1 2 1
Direct
0.0000 0.0000 0.0000
0.2500 0.2500 0.2500
0.7500 0.7500 0.7500
0.5000 0.5000 0.5000
```

V: 44.6 Å³ per cell
space-group type: Fm-3m
DOS at the Fermi energy: 1.7 states/eV per cell

=====

*b*
Material: GeC2S
Method: DFT, GGA-PBE
State: optimized geometry

```
GeC2S
1.0
-2.1854 2.1854 5.0937
2.1854 -2.1854 5.0937
2.1854 2.1854 -5.0937
Ge C S
2 4 2
Direct
0.0000 0.0000 0.0000
0.7500 0.2500 0.5000
0.1353 0.6250 0.0103
0.3750 0.3853 0.5103
0.6147 0.1250 0.9897
0.8750 0.8647 0.4897
0.2500 0.7500 0.5000
0.5000 0.5000 0.0000
```

V: 97.3 Å³ per cell
space-group type: I-42d
DOS at the Fermi energy: 3.1 states/eV per cell

=====

It is *b* that is the most stable of them.